# 1
This record from the Alexandria database describes crystalline Cs2Bi3Pb2 at its relaxed geometry. The functional is PBE.

Lattice parameters (Å, degrees): 7.724 7.724 8.991 118.89 118.89 39.62
Fractional coordinates of all 7 atoms:
Cs  0.156  0.156  0.296
Cs  0.844  0.844  0.704
Bi  0.416  0.416  0.080
Bi  0.500  0.500  0.500
Bi  0.584  0.584  0.920
Pb  0.155  0.155  0.787
Pb  0.845  0.845  0.213

V	41.92	Å³/atom
energy of formation from the pure elements	-213.0	meV/atom
total moment	0.0	Bohr magnetons per cell
symmetry	No. 12
density of states at the Fermi level	3.63	states/eV/f.u.



# 2
This record from the Alexandria database describes crystalline K2TlInOs at its relaxed geometry. The functional is PBE.

Lattice parameters (Å, degrees): 6.712 6.712 5.461 90.00 90.00 90.00
Fractional coordinates of all 5 atoms:
K  0.000  0.500  0.000
K  0.500  0.000  0.000
Tl  0.000  0.000  0.500
In  0.000  0.000  0.000
Os  0.500  0.500  0.500

V	49.20	Å³/atom
energy of formation from the pure elements	1467.5	meV/atom
total moment	3.5	Bohr magnetons per cell
symmetry	No. 123
density of states at the Fermi level	7.09	states/eV/f.u.



# 3
This record from the Alexandria database describes crystalline VFeTe4 at its relaxed geometry. The functional is PBE.

Lattice parameters (Å, degrees): 3.598 6.436 7.178 99.55 104.45 90.03
Fractional coordinates of all 6 atoms:
V  0.000  0.000  0.000
Fe  0.500  0.500  0.000
Te  0.116  0.383  0.233
Te  0.380  0.133  0.759
Te  0.620  0.867  0.241
Te  0.884  0.617  0.767

V	26.43	Å³/atom
formation energy (no corrections)	-157.8	meV per atom
total moment	3.0	Bohr magnetons per cell
symmetry	No. 2
density of states at the Fermi level	5.14	states/eV/f.u.



# 4
This record from the Alexandria database describes crystalline LiTb6Er at its relaxed geometry. The functional is PBE.

Lattice parameters (Å, degrees): 6.276 6.276 6.276 96.15 96.15 96.15
Fractional coordinates of all 8 atoms:
Li  0.000  0.000  0.000
Tb  0.049  0.570  0.762
Tb  0.238  0.951  0.430
Tb  0.430  0.238  0.951
Tb  0.570  0.762  0.049
Tb  0.762  0.049  0.570
Tb  0.951  0.430  0.238
Er  0.500  0.500  0.500

V	30.34	Å³/atom
energy of formation from the pure elements	149.5	meV/atom
total moment	0.0	Bohr magnetons per cell
symmetry	No. 148
density of states at the Fermi level	11.51	states/eV/f.u.



# 5
This record from the Alexandria database describes crystalline La2YTe at its relaxed geometry. The functional is PBE.

Lattice parameters (Å, degrees): 10.389 10.389 10.389 22.59 22.59 22.59
Fractional coordinates of all 4 atoms:
La  0.239  0.239  0.239
La  0.761  0.761  0.761
Y  0.000  0.000  0.000
Te  0.500  0.500  0.500

V	36.29	Å³/atom
formation energy (no corrections)	-573.9	meV per atom
total moment	0.8	Bohr magnetons per cell
symmetry	No. 166
density of states at the Fermi level	4.95	states/eV/f.u.



# 6
This record from the Alexandria database describes crystalline Cd2PtPb2 at its relaxed geometry. The functional is PBE.

Lattice parameters (Å, degrees): 7.259 7.259 5.071 90.00 90.00 90.00
Fractional coordinates of all 10 atoms:
Cd  0.158  0.342  0.000
Cd  0.342  0.842  0.000
Cd  0.658  0.158  0.000
Cd  0.842  0.658  0.000
Pt  0.000  0.000  0.500
Pt  0.500  0.500  0.500
Pb  0.157  0.657  0.500
Pb  0.343  0.157  0.500
Pb  0.657  0.843  0.500
Pb  0.843  0.343  0.500

V	26.72	Å³/atom
energy of formation from the pure elements	124.9	meV/atom
total moment	0.0	Bohr magnetons per cell
symmetry	No. 127
density of states at the Fermi level	2.00	states/eV/f.u.



# 7
This record from the Alexandria database describes crystalline ZrSc4Rh5 at its relaxed geometry. The functional is PBE.

Lattice parameters (Å, degrees): 3.207 3.207 16.611 90.00 90.00 90.00
Fractional coordinates of all 10 atoms:
Zr  0.000  0.000  0.000
Sc  0.000  0.000  0.204
Sc  0.000  0.000  0.401
Sc  0.000  0.000  0.599
Sc  0.000  0.000  0.796
Rh  0.500  0.500  0.103
Rh  0.500  0.500  0.302
Rh  0.500  0.500  0.500
Rh  0.500  0.500  0.698
Rh  0.500  0.500  0.897

V	17.08	Å³/atom
energy of formation from the pure elements	-967.7	meV/atom
total moment	0.0	Bohr magnetons per cell
symmetry	No. 123
density of states at the Fermi level	5.01	states/eV/f.u.



# 8
This record from the Alexandria database describes crystalline Li2PmGa4 at its relaxed geometry. The functional is PBE.

Lattice parameters (Å, degrees): 10.205 10.205 10.205 161.94 155.63 30.50
Fractional coordinates of all 7 atoms:
Li  0.206  0.206  0.000
Li  0.794  0.794  0.000
Pm  0.500  0.000  0.500
Ga  0.082  0.582  0.500
Ga  0.347  0.347  0.000
Ga  0.653  0.653  0.000
Ga  0.918  0.418  0.500

V	19.41	Å³/atom
energy of formation from the pure elements	-363.6	meV/atom
total moment	0.0	Bohr magnetons per cell
symmetry	No. 71
density of states at the Fermi level	2.64	states/eV/f.u.



# 9
This record from the Alexandria database describes crystalline ScCuRe2 at its relaxed geometry. The functional is PBE.

Lattice parameters (Å, degrees): 4.425 4.425 4.425 60.00 60.00 60.00
Fractional coordinates of all 4 atoms:
Sc  0.000  0.000  0.000
Cu  0.500  0.500  0.500
Re  0.250  0.250  0.250
Re  0.750  0.750  0.750

V	15.32	Å³/atom
energy of formation from the pure elements	607.1	meV/atom
total moment	0.7	Bohr magnetons per cell
symmetry	No. 225
density of states at the Fermi level	5.70	states/eV/f.u.



# 10
This record from the Alexandria database describes crystalline TlCdPb at its relaxed geometry. The functional is PBE.

Lattice parameters (Å, degrees): 7.560 7.560 7.560 153.53 153.53 37.78
Fractional coordinates of all 3 atoms:
Tl  0.000  0.000  0.000
Cd  0.340  0.340  0.000
Pb  0.686  0.686  0.000

V	28.57	Å³/atom
energy of formation from the pure elements	29.9	meV/atom
total moment	0.0	Bohr magnetons per cell
symmetry	No. 107
density of states at the Fermi level	0.90	states/eV/f.u.



# 11
This record from the Alexandria database describes crystalline HfCo4C at its relaxed geometry. The functional is PBE.

Lattice parameters (Å, degrees): 6.340 6.340 5.266 105.52 105.52 43.19
Fractional coordinates of all 12 atoms:
Hf  0.133  0.867  0.750
Hf  0.867  0.133  0.250
Co  0.118  0.302  0.654
Co  0.291  0.518  0.068
Co  0.302  0.118  0.154
Co  0.482  0.709  0.432
Co  0.518  0.291  0.568
Co  0.698  0.882  0.846
Co  0.709  0.482  0.932
Co  0.882  0.698  0.346
C  0.000  0.500  0.000
C  0.500  0.000  0.500

V	11.56	Å³/atom
energy of formation from the pure elements	-39.0	meV/atom
total moment	4.2	Bohr magnetons per cell
symmetry	No. 15
density of states at the Fermi level	7.44	states/eV/f.u.



# 12
This record from the Alexandria database describes crystalline RbCaPt2O at its relaxed geometry. The functional is PBE.

Lattice parameters (Å, degrees): 4.975 4.975 6.805 90.00 90.00 90.00
Fractional coordinates of all 5 atoms:
Rb  0.000  0.000  0.000
Ca  0.000  0.000  0.500
Pt  0.000  0.500  0.000
Pt  0.500  0.000  0.000
O  0.500  0.500  0.500

V	33.68	Å³/atom
formation energy (no corrections)	1598.4	meV per atom
total moment	0.8	Bohr magnetons per cell
symmetry	No. 123
density of states at the Fermi level	3.31	states/eV/f.u.



# 13
This record from the Alexandria database describes crystalline CaMgBr4 at its relaxed geometry. The functional is PBE.

Lattice parameters (Å, degrees): 7.124 4.067 7.296 90.00 107.87 90.00
Fractional coordinates of all 6 atoms:
Ca  0.000  0.000  0.000
Mg  0.500  0.500  0.000
Br  0.259  0.500  0.224
Br  0.281  0.000  0.782
Br  0.719  0.000  0.218
Br  0.741  0.500  0.776

V	33.53	Å³/atom
formation energy (no corrections)	-1747.3	meV per atom
total moment	0.0	Bohr magnetons per cell
symmetry	No. 10
density of states at the Fermi level	0.00	states/eV/f.u.



# 14
This record from the Alexandria database describes crystalline ErLuHg at its relaxed geometry. The functional is PBE.

Lattice parameters (Å, degrees): 5.088 5.088 3.610 90.00 90.00 120.00
Fractional coordinates of all 3 atoms:
Er  0.000  0.000  0.000
Lu  0.667  0.333  0.526
Hg  0.333  0.667  0.321

V	26.98	Å³/atom
energy of formation from the pure elements	-175.8	meV/atom
total moment	0.0	Bohr magnetons per cell
symmetry	No. 156
density of states at the Fermi level	3.29	states/eV/f.u.



# 15
This record from the Alexandria database describes crystalline Gd4Bi2Ru at its relaxed geometry. The functional is PBE.

Lattice parameters (Å, degrees): 9.603 9.603 9.603 149.41 149.41 43.80
Fractional coordinates of all 7 atoms:
Gd  0.000  0.500  0.500
Gd  0.170  0.170  0.000
Gd  0.500  0.000  0.500
Gd  0.830  0.830  0.000
Bi  0.343  0.343  0.000
Bi  0.657  0.657  0.000
Ru  0.500  0.500  0.000

V	32.67	Å³/atom
energy of formation from the pure elements	-290.0	meV/atom
total moment	28.7	Bohr magnetons per cell
symmetry	No. 139
density of states at the Fermi level	12.03	states/eV/f.u.